This record from Alexandria via LeMat-Bulk describes a geometry-optimized MnMo2RuF structure. The functional is GGA+U.

## Properties
Magnetization: 11.46 μB per cell
E: -0.2091 Ha/atom
Volume: 90.15 Å³ per cell
DOS(E_F): 1.058 states/eV per atom

Unit cell a=4.6141 b=4.6141 c=4.2347 alpha=90.00 beta=90.00 gamma=90.00
With the nearest neighbours (Å) after each atom.
Fractional coordinates of all 5 atoms:
Mn 0.0000 0.0000 0.0000  2 F 2.12
Mo 0.0000 0.5000 0.5000  2 F 2.31
Mo 0.5000 0.0000 0.5000  2 F 2.31
Ru 0.5000 0.5000 0.0000  8 Mo 3.13, 4 Mn 3.26
F 0.0000 0.0000 0.5000  2 Mn 2.12, 4 Mo 2.31

This record from Alexandria via LeMat-Bulk describes a geometry-optimized MnSiMo2F structure. The functional is GGA+U.

## Properties
Magnetization: 8.08 μB per cell
E: -0.1702 Ha/atom
Volume: 97.60 Å³ per cell
DOS(E_F): 0.684 states/eV per atom

Unit cell a=5.0499 b=5.0499 c=3.8272 alpha=90.00 beta=90.00 gamma=90.00
With the nearest neighbours (Å) after each atom.
Fractional coordinates of all 5 atoms:
Mn 0.0000 0.0000 0.0000  8 Mo 3.17
Si 0.5000 0.5000 0.5000  2 F 1.91
Mo 0.0000 0.5000 0.5000  2 Si 2.52
Mo 0.5000 0.0000 0.5000  2 Si 2.52
F 0.5000 0.5000 0.0000  2 Si 1.91